Compound: Li2PdS2
Source: the Alexandria database
Functional: PBE
Structure: relaxed

Geometry as POSCAR:
```
Li2PdS2
1.0
-2.102 5.830 2.062
-5.747 -1.037 -2.926
-1.271 -1.533 3.040
Pd S Li
2 4 4
Cartesian
0.000 0.000 0.000
-3.924 2.397 -0.432
-2.395 3.736 0.883
-5.453 1.057 -1.747
-5.600 4.136 -0.256
-2.249 0.658 -0.609
-4.633 -0.599 -0.067
-6.911 2.095 0.339
-4.487 3.859 2.242
-2.208 1.165 1.837
```

Summary:
Distance to the lowest polymorph of the same formula   0.00 eV/f.u.
Formation energy without anion corrections   -0.773 eV/atom
Space group   P4/mbm, No. 127
Crystal system   tetragonal
Magnetization   0.000 μB/cell